Here is a relaxed Pa2GaFeO8 crystal from Alexandria. Energies are from PBE+U.

Cell lengths 4.7146, 4.7136, 7.1604 Å; angles 86.41, 93.61, 92.63 degrees
Last column: nearest neighbours and their distance in Å.
Sites, in units of the cell vectors:
Pa 0.4938 0.5057 0.7514  6 O 2.07-2.25
Pa 0.5062 0.4943 0.2486  6 O 2.07-2.25
Ga 0.0000 0.0000 0.0000  4 O 1.94-1.96
Fe 0.0000 0.0000 0.5000  4 O 1.90-2.00
O 0.2009 0.7991 0.2133  1 Ga 1.96, 1 Pa 2.07
O 0.7019 0.7016 0.9998  1 Ga 1.94
O 0.8202 0.1790 0.2642  1 Fe 2.00, 1 Pa 2.14
O 0.7991 0.2009 0.7867  1 Ga 1.96, 1 Pa 2.07
O 0.2981 0.2984 0.0001  1 Ga 1.94
O 0.1798 0.8210 0.7358  1 Fe 2.00, 1 Pa 2.14
O 0.7077 0.7073 0.5002  1 Fe 1.90
O 0.2923 0.2927 0.4998  1 Fe 1.90

Values from the calculation:
- Total moment: 2.97 Bohr magnetons per cell
- SG: C2/m
- Calculated density: 7.5 g/cm3
- Total energy: -8.2202 eV per atom